(1)
# GGA-PBE Te4AuBr, relaxed
# Calculated volume, A^3/atom: 34.50
# Calculated total energy, eV per atom: -2.880
# DOS at the Fermi energy, states/eV per atom: 0.3412
# Total magnetization, μB/cell: 0.00
# ΔE_f (raw), meV per atom: 39
# E above lowest polymorph, meV per atom: 84
data_Te4AuBr
_cell_length_a 12.7341
_cell_length_b 10.2403
_cell_length_c 7.4473
_cell_angle_alpha 90.00
_cell_angle_beta 121.49
_cell_angle_gamma 90.00
_space_group_name_H-M_alt 'C 1 2/m 1'
_space_group_IT_number 12
loop_
_space_group_symop_operation_xyz
'x,y,z'
'-x,-y,-z'
'-x,y,-z'
'x,-y,z'
'x+1/2,y+1/2,z'
'-x+1/2,-y+1/2,-z'
'-x+1/2,y+1/2,-z'
'x+1/2,-y+1/2,z'
loop_
_atom_site_label
_atom_site_fract_x
_atom_site_fract_y
_atom_site_fract_z
Te1 0.0000 0.2340 0.0000
Te2 0.1212 0.2133 0.4821
Te3 0.2471 0.0000 0.8031
Au1 0.0619 0.0000 0.2239
Br1 0.1367 0.5000 0.7728

=====

(2)
# GGA-PBE TeAuBr, relaxed
# Calculated volume, A^3/atom: 35.48
# Calculated total energy, eV per atom: -2.779
# DOS at the Fermi energy, states/eV per atom: 0.3380
# Total magnetization, μB/cell: 0.00
# ΔE_f (raw), meV per atom: -82
data_TeAuBr
_cell_length_a 4.6337
_cell_length_b 4.6371
_cell_length_c 5.7188
_cell_angle_alpha 89.81
_cell_angle_beta 89.91
_cell_angle_gamma 60.03
_space_group_name_H-M_alt 'P 1'
_space_group_IT_number 1
loop_
_space_group_symop_operation_xyz
'x,y,z'
loop_
_atom_site_label
_atom_site_fract_x
_atom_site_fract_y
_atom_site_fract_z
Te1 0.0000 0.0000 0.0000
Au1 0.6663 0.6667 0.0002
Br1 0.9822 0.0153 0.5003

=====

(3)
# GGA-PBE TeAuBr2, relaxed
# Calculated volume, A^3/atom: 32.84
# Calculated total energy, eV per atom: -2.475
# DOS at the Fermi energy, states/eV per atom: 0.3360
# Total magnetization, μB/cell: 0.00
# ΔE_f (raw), meV per atom: -33
data_TeAuBr2
_cell_length_a 3.9099
_cell_length_b 3.9099
_cell_length_c 8.5928
_cell_angle_alpha 90.00
_cell_angle_beta 90.00
_cell_angle_gamma 90.00
_space_group_name_H-M_alt 'P 4 m m'
_space_group_IT_number 99
loop_
_space_group_symop_operation_xyz
'x,y,z'
'-y,x,z'
'-x,-y,z'
'y,-x,z'
'-x,y,z'
'y,x,z'
'x,-y,z'
'-y,-x,z'
loop_
_atom_site_label
_atom_site_fract_x
_atom_site_fract_y
_atom_site_fract_z
Te1 0.0000 0.0000 0.0000
Au1 0.5000 0.5000 0.9069
Br1 0.0000 0.0000 0.2935
Br2 0.5000 0.5000 0.6142

=====

(4)
# GGA-PBE TeAuBr2, relaxed
# Calculated volume, A^3/atom: 25.19
# Calculated total energy, eV per atom: -1.875
# DOS at the Fermi energy, states/eV per atom: 1.5715
# Total magnetization, μB/cell: 0.00
# ΔE_f (raw), meV per atom: 566
data_TeAuBr2
_cell_length_a 7.3868
_cell_length_b 7.3868
_cell_length_c 7.3868
_cell_angle_alpha 90.00
_cell_angle_beta 90.00
_cell_angle_gamma 90.00
_space_group_name_H-M_alt 'F m -3 m'
_space_group_IT_number 225
_space_group_name_Hall '-F 4 2 3'
loop_
_atom_site_label
_atom_site_fract_x
_atom_site_fract_y
_atom_site_fract_z
Te1 0.0000 0.0000 0.0000
Au1 0.0000 0.0000 0.5000
Br1 0.2500 0.2500 0.2500

=====

(5)
# GGA-PBE Te2AuBr, relaxed
# Calculated volume, A^3/atom: 30.21
# Calculated total energy, eV per atom: -2.971
# DOS at the Fermi energy, states/eV per atom: 0.1101
# Total magnetization, μB/cell: 0.00
# ΔE_f (raw), meV per atom: -163
data_Te2AuBr
_cell_length_a 4.7486
_cell_length_b 4.0970
_cell_length_c 6.6406
_cell_angle_alpha 90.00
_cell_angle_beta 110.73
_cell_angle_gamma 90.00
_space_group_name_H-M_alt 'P 1 2/m 1'
_space_group_IT_number 10
loop_
_space_group_symop_operation_xyz
'x,y,z'
'-x,-y,-z'
'-x,y,-z'
'x,-y,z'
loop_
_atom_site_label
_atom_site_fract_x
_atom_site_fract_y
_atom_site_fract_z
Te1 0.1098 0.0000 0.3303
Au1 0.5000 0.5000 0.5000
Br1 0.5000 0.5000 0.0000

=====

(6)
# GGA-PBE TeAuBr2, relaxed
# Calculated volume, A^3/atom: 34.44
# Calculated total energy, eV per atom: -2.561
# DOS at the Fermi energy, states/eV per atom: 0.8106
# Total magnetization, μB/cell: 0.00
# ΔE_f (raw), meV per atom: -120
data_TeAuBr2
_cell_length_a 8.3808
_cell_length_b 3.9515
_cell_length_c 8.3262
_cell_angle_alpha 90.00
_cell_angle_beta 92.25
_cell_angle_gamma 90.00
_space_group_name_H-M_alt 'C 1 m 1'
_space_group_IT_number 8
loop_
_space_group_symop_operation_xyz
'x,y,z'
'x,-y,z'
'x+1/2,y+1/2,z'
'x+1/2,-y+1/2,z'
loop_
_atom_site_label
_atom_site_fract_x
_atom_site_fract_y
_atom_site_fract_z
Te1 0.0000 0.0000 0.0000
Au1 0.3445 0.0000 0.8307
Br1 0.2097 0.5000 0.6492
Br2 0.3662 0.5000 0.2680

=====

(7)
# GGA-PBE Te2Au2Br, relaxed
# Calculated volume, A^3/atom: 27.02
# Calculated total energy, eV per atom: -2.865
# DOS at the Fermi energy, states/eV per atom: 0.6498
# Total magnetization, μB/cell: 0.00
# ΔE_f (raw), meV per atom: 38
# E above lowest polymorph, meV per atom: 0
data_Te2Au2Br
_cell_length_a 4.1466
_cell_length_b 4.1466
_cell_length_c 15.7129
_cell_angle_alpha 90.00
_cell_angle_beta 90.00
_cell_angle_gamma 90.00
_space_group_name_H-M_alt 'I 4/m m m'
_space_group_IT_number 139
_space_group_name_Hall '-I 4 2'
loop_
_atom_site_label
_atom_site_fract_x
_atom_site_fract_y
_atom_site_fract_z
Te1 0.0000 0.0000 0.1281
Au1 0.0000 0.5000 0.2500
Br1 0.0000 0.0000 0.5000

=====

(8)
# GGA-PBE Te2AuBr, relaxed
# Calculated volume, A^3/atom: 28.15
# Calculated total energy, eV per atom: -2.517
# DOS at the Fermi energy, states/eV per atom: 0.8999
# Total magnetization, μB/cell: 0.00
# ΔE_f (raw), meV per atom: 291
data_Te2AuBr
_cell_length_a 7.9534
_cell_length_b 7.9534
_cell_length_c 7.1206
_cell_angle_alpha 90.00
_cell_angle_beta 90.00
_cell_angle_gamma 90.00
_space_group_name_H-M_alt 'I 4/m c m'
_space_group_IT_number 140
_space_group_name_Hall '-I 4 2c'
loop_
_atom_site_label
_atom_site_fract_x
_atom_site_fract_y
_atom_site_fract_z
Te1 0.1821 0.3179 0.0000
Au1 0.0000 0.5000 0.2500
Br1 0.0000 0.0000 0.2500

=====

(9)
# GGA-PBE Te2AuBr, relaxed
# Calculated volume, A^3/atom: 30.08
# Calculated total energy, eV per atom: -2.830
# DOS at the Fermi energy, states/eV per atom: 0.1512
# Total magnetization, μB/cell: 0.00
# ΔE_f (raw), meV per atom: -21
data_Te2AuBr
_cell_length_a 4.0823
_cell_length_b 4.0823
_cell_length_c 25.0090
_cell_angle_alpha 90.00
_cell_angle_beta 90.00
_cell_angle_gamma 120.00
_space_group_name_H-M_alt 'R 3 m'
_space_group_IT_number 160
_space_group_name_Hall 'R 3 -2"'
loop_
_atom_site_label
_atom_site_fract_x
_atom_site_fract_y
_atom_site_fract_z
Te1 0.0000 0.0000 0.0000
Te2 0.0000 0.0000 0.2571
Au1 0.0000 0.0000 0.5250
Br1 0.0000 0.0000 0.7956

=====

(10)
# GGA-PBE Te2AuBr, relaxed
# Calculated volume, A^3/atom: 29.19
# Calculated total energy, eV per atom: -2.917
# DOS at the Fermi energy, states/eV per atom: 0.3402
# Total magnetization, μB/cell: 0.00
# ΔE_f (raw), meV per atom: -109
data_Te2AuBr
_cell_length_a 5.9787
_cell_length_b 4.1369
_cell_length_c 9.4414
_cell_angle_alpha 90.00
_cell_angle_beta 90.32
_cell_angle_gamma 90.00
_space_group_name_H-M_alt 'P 1 21/m 1'
_space_group_IT_number 11
loop_
_space_group_symop_operation_xyz
'x,y,z'
'-x,-y,-z'
'-x,y+1/2,-z'
'x,-y+1/2,z'
loop_
_atom_site_label
_atom_site_fract_x
_atom_site_fract_y
_atom_site_fract_z
Te1 0.2467 0.2500 0.1810
Te2 0.2508 0.2500 0.5646
Au1 0.2485 0.7500 0.3726
Br1 0.2538 0.7500 0.8460

=====

(11)
# GGA-PBE Te2Au2Br, relaxed
# Calculated volume, A^3/atom: 27.06
# Calculated total energy, eV per atom: -2.852
# DOS at the Fermi energy, states/eV per atom: 0.2897
# Total magnetization, μB/cell: 0.00
# ΔE_f (raw), meV per atom: 51
# E above lowest polymorph, meV per atom: 13
data_Te2Au2Br
_cell_length_a 5.3065
_cell_length_b 5.3065
_cell_length_c 9.6099
_cell_angle_alpha 90.00
_cell_angle_beta 90.00
_cell_angle_gamma 90.00
_space_group_name_H-M_alt 'I 4/m m m'
_space_group_IT_number 139
_space_group_name_Hall '-I 4 2'
loop_
_atom_site_label
_atom_site_fract_x
_atom_site_fract_y
_atom_site_fract_z
Te1 0.0000 0.5000 0.2500
Au1 0.0000 0.0000 0.1622
Br1 0.0000 0.0000 0.5000

=====

(12)
# GGA-PBE Te2AuBr, relaxed
# Calculated volume, A^3/atom: 33.53
# Calculated total energy, eV per atom: -2.912
# DOS at the Fermi energy, states/eV per atom: 0.1087
# Total magnetization, μB/cell: 0.00
# ΔE_f (raw), meV per atom: -104
data_Te2AuBr
_cell_length_a 9.5697
_cell_length_b 4.0768
_cell_length_c 13.7528
_cell_angle_alpha 90.00
_cell_angle_beta 90.00
_cell_angle_gamma 90.00
_space_group_name_H-M_alt 'P n m a'
_space_group_IT_number 62
loop_
_space_group_symop_operation_xyz
'x,y,z'
'-x,-y,-z'
'-x+1/2,-y,z+1/2'
'x+1/2,y,-z+1/2'
'x+1/2,-y+1/2,-z+1/2'
'-x+1/2,y+1/2,z+1/2'
'-x,y+1/2,-z'
'x,-y+1/2,z'
loop_
_atom_site_label
_atom_site_fract_x
_atom_site_fract_y
_atom_site_fract_z
Te1 0.1267 0.2500 0.0345
Te2 0.1620 0.7500 0.7490
Au1 0.2322 0.7500 0.1409
Br1 0.0809 0.2500 0.3597

=====

(13)
# GGA-PBE Te3AuBr, relaxed
# Calculated volume, A^3/atom: 34.15
# Calculated total energy, eV per atom: -1.836
# DOS at the Fermi energy, states/eV per atom: 0.9213
# Total magnetization, μB/cell: 0.00
# ΔE_f (raw), meV per atom: 1039
# E above lowest polymorph, meV per atom: 1059
data_Te3AuBr
_cell_length_a 5.5479
_cell_length_b 5.5479
_cell_length_c 5.5479
_cell_angle_alpha 90.00
_cell_angle_beta 90.00
_cell_angle_gamma 90.00
_space_group_name_H-M_alt 'P m -3 m'
_space_group_IT_number 221
_space_group_name_Hall '-P 4 2 3'
loop_
_atom_site_label
_atom_site_fract_x
_atom_site_fract_y
_atom_site_fract_z
Te1 0.0000 0.0000 0.5000
Au1 0.5000 0.5000 0.5000
Br1 0.0000 0.0000 0.0000

=====

(14)
# GGA-PBE Te2AuBr2, relaxed
# Calculated volume, A^3/atom: 36.05
# Calculated total energy, eV per atom: -2.760
# DOS at the Fermi energy, states/eV per atom: 0.2075
# Total magnetization, μB/cell: 0.00
# ΔE_f (raw), meV per atom: -179
# E above lowest polymorph, meV per atom: 0
data_Te2AuBr2
_cell_length_a 5.7370
_cell_length_b 15.5624
_cell_length_c 4.0380
_cell_angle_alpha 90.00
_cell_angle_beta 90.00
_cell_angle_gamma 90.00
_space_group_name_H-M_alt 'C m m m'
_space_group_IT_number 65
_space_group_name_Hall '-C 2 2'
loop_
_atom_site_label
_atom_site_fract_x
_atom_site_fract_y
_atom_site_fract_z
Te1 0.0000 0.1153 0.0000
Au1 0.0000 0.0000 0.5000
Br1 0.0000 0.3692 0.0000

=====

(15)
# GGA-PBE Te2AuBr, relaxed
# Calculated volume, A^3/atom: 31.78
# Calculated total energy, eV per atom: -2.909
# DOS at the Fermi energy, states/eV per atom: 0.0949
# Total magnetization, μB/cell: 0.00
# ΔE_f (raw), meV per atom: -100
data_Te2AuBr
_cell_length_a 7.8991
_cell_length_b 13.0039
_cell_length_c 4.9503
_cell_angle_alpha 90.00
_cell_angle_beta 90.00
_cell_angle_gamma 90.00
_space_group_name_H-M_alt 'P n a 21'
_space_group_IT_number 33
loop_
_space_group_symop_operation_xyz
'x,y,z'
'-x,-y,z+1/2'
'-x+1/2,y+1/2,z+1/2'
'x+1/2,-y+1/2,z'
loop_
_atom_site_label
_atom_site_fract_x
_atom_site_fract_y
_atom_site_fract_z
Te1 0.1038 0.1969 0.0000
Te2 0.1683 0.3466 0.6128
Au1 0.1103 0.6950 0.8214
Br1 0.2175 0.0278 0.5777

=====

(16)
# GGA-PBE TeAuBr2, relaxed
# Calculated volume, A^3/atom: 27.86
# Calculated total energy, eV per atom: -2.250
# DOS at the Fermi energy, states/eV per atom: 0.3990
# Total magnetization, μB/cell: 0.00
# ΔE_f (raw), meV per atom: 191
data_TeAuBr2
_cell_length_a 6.7959
_cell_length_b 7.5642
_cell_length_c 4.3358
_cell_angle_alpha 90.00
_cell_angle_beta 90.00
_cell_angle_gamma 90.00
_space_group_name_H-M_alt 'C m m m'
_space_group_IT_number 65
_space_group_name_Hall '-C 2 2'
loop_
_atom_site_label
_atom_site_fract_x
_atom_site_fract_y
_atom_site_fract_z
Te1 0.0000 0.0000 0.0000
Au1 0.0000 0.5000 0.0000
Br1 0.0000 0.2604 0.5000

=====

(17)
# GGA-PBE Te2AuBr, relaxed
# Calculated volume, A^3/atom: 36.07
# Calculated total energy, eV per atom: -2.950
# DOS at the Fermi energy, states/eV per atom: 0.0000
# Total magnetization, μB/cell: 0.00
# ΔE_f (raw), meV per atom: -142
data_Te2AuBr
_cell_length_a 4.0847
_cell_length_b 8.2233
_cell_length_c 9.1683
_cell_angle_alpha 105.62
_cell_angle_beta 102.81
_cell_angle_gamma 90.19
_space_group_name_H-M_alt 'P 1'
_space_group_IT_number 1
loop_
_space_group_symop_operation_xyz
'x,y,z'
loop_
_atom_site_label
_atom_site_fract_x
_atom_site_fract_y
_atom_site_fract_z
Te1 0.0000 0.0000 0.0000
Te2 0.0866 0.7467 0.1746
Te3 0.2803 0.0343 0.5599
Te4 0.5847 0.2298 0.1676
Au1 0.3568 0.8117 0.7140
Au2 0.6839 0.8929 0.3684
Br1 0.1810 0.4733 0.3572
Br2 0.4244 0.5860 0.8489

=====

(18)
# GGA-PBE TeAuBr2, relaxed
# Calculated volume, A^3/atom: 30.37
# Calculated total energy, eV per atom: -2.305
# DOS at the Fermi energy, states/eV per atom: 0.5533
# Total magnetization, μB/cell: 0.00
# ΔE_f (raw), meV per atom: 136
data_TeAuBr2
_cell_length_a 3.9642
_cell_length_b 3.9642
_cell_length_c 26.7747
_cell_angle_alpha 90.00
_cell_angle_beta 90.00
_cell_angle_gamma 120.00
_space_group_name_H-M_alt 'R -3 m'
_space_group_IT_number 166
_space_group_name_Hall '-R 3 2"'
loop_
_atom_site_label
_atom_site_fract_x
_atom_site_fract_y
_atom_site_fract_z
Te1 0.0000 0.0000 0.0000
Au1 0.0000 0.0000 0.5000
Br1 0.0000 0.0000 0.1037

=====

(19)
# GGA-PBE Te2AuBr, relaxed
# Calculated volume, A^3/atom: 27.58
# Calculated total energy, eV per atom: -2.800
# DOS at the Fermi energy, states/eV per atom: 0.1772
# Total magnetization, μB/cell: 0.00
# ΔE_f (raw), meV per atom: 9
data_Te2AuBr
_cell_length_a 7.5677
_cell_length_b 9.5593
_cell_length_c 6.7040
_cell_angle_alpha 90.00
_cell_angle_beta 114.53
_cell_angle_gamma 90.00
_space_group_name_H-M_alt 'C 1 2/c 1'
_space_group_IT_number 15
loop_
_space_group_symop_operation_xyz
'x,y,z'
'-x,-y,-z'
'-x,y,-z+1/2'
'x,-y,z+1/2'
'x+1/2,y+1/2,z'
'-x+1/2,-y+1/2,-z'
'-x+1/2,y+1/2,-z+1/2'
'x+1/2,-y+1/2,z+1/2'
loop_
_atom_site_label
_atom_site_fract_x
_atom_site_fract_y
_atom_site_fract_z
Te1 0.1766 0.1405 0.1908
Au1 0.0000 0.1424 0.7500
Br1 0.0000 0.4311 0.2500

=====

(20)
# GGA-PBE Te2AuBr, relaxed
# Calculated volume, A^3/atom: 27.68
# Calculated total energy, eV per atom: -2.738
# DOS at the Fermi energy, states/eV per atom: 0.3090
# Total magnetization, μB/cell: 0.00
# ΔE_f (raw), meV per atom: 70
data_Te2AuBr
_cell_length_a 8.5322
_cell_length_b 8.5322
_cell_length_c 6.0829
_cell_angle_alpha 90.00
_cell_angle_beta 90.00
_cell_angle_gamma 90.00
_space_group_name_H-M_alt 'I -4 2 d'
_space_group_IT_number 122
_space_group_name_Hall 'I -4 2bw'
loop_
_atom_site_label
_atom_site_fract_x
_atom_site_fract_y
_atom_site_fract_z
Te1 0.1888 0.7500 0.1250
Au1 0.0000 0.0000 0.0000
Br1 0.0000 0.0000 0.5000